Here is Pr2H2Au after structural relaxation from Alexandria via LeMat-Bulk. Energies are from PBE.

a b c (Å): 3.657 3.657 7.133
angles (deg): 90.00 90.00 90.00
Fractional positions:
Pr 0.000 0.000 0.233
Pr 0.000 0.000 0.767
H 0.000 0.500 0.000
H 0.500 0.000 0.000
Au 0.500 0.500 0.500

- Fermi-level density of states (states/eV/atom) = 0.448
- symmetry = P4/mmm, No. 123
- energy above the most stable polymorph in this dataset (meV per atom) = 158
- calculated volume (Å³/atom) = 19.1

=====

Here is Pr2HPt6Au after structural relaxation from Alexandria via LeMat-Bulk. Energies are from PBE.

a b c (Å): 5.672 5.672 7.334
angles (deg): 112.65 112.65 60.03
Fractional positions:
Pr 0.217 0.217 0.152
Pr 0.783 0.783 0.848
H 0.000 0.000 0.500
Pt 0.227 0.227 0.674
Pt 0.227 0.720 0.674
Pt 0.280 0.773 0.326
Pt 0.720 0.227 0.674
Pt 0.773 0.280 0.326
Pt 0.773 0.773 0.326
Au 0.500 0.500 0.000

- Fermi-level density of states (states/eV/atom) = 0.529
- raw total energy (eV per atom) = -5.868
- symmetry = C2/m, No. 12
- calculated volume (Å³/atom) = 18.3

=====

Here is PrH8Rh4Au after structural relaxation from Alexandria via LeMat-Bulk. Energies are from PBE.

a b c (Å): 5.842 5.842 5.842
angles (deg): 57.98 57.98 57.98
Fractional positions:
Pr 0.000 0.000 0.000
H 0.304 0.304 0.904
H 0.304 0.904 0.304
H 0.383 0.383 0.383
H 0.488 0.859 0.859
H 0.845 0.845 0.845
H 0.859 0.488 0.859
H 0.859 0.859 0.488
H 0.904 0.304 0.304
Rh 0.137 0.626 0.626
Rh 0.253 0.253 0.253
Rh 0.626 0.137 0.626
Rh 0.626 0.626 0.137
Au 0.621 0.621 0.621

- Fermi-level density of states (states/eV/atom) = 0.270
- raw total energy (eV per atom) = -4.750
- symmetry = R3m, No. 160
- calculated volume (Å³/atom) = 9.6

=====

| no. | magnetic moment (μB per atom) |
| --- | --- |
| 1 | 0.00 |
| 2 | 0.00 |
| 3 | 0.00 |